1.
DFT (GGA-PBE) results for crystalline P2OsAu at its relaxed geometry.

The structure in CIF format:
```
data_P2OsAu
_cell_length_a 2.898
_cell_length_b 2.898
_cell_length_c 7.744
_cell_angle_alpha 90.00
_cell_angle_beta 90.00
_cell_angle_gamma 90.00
_symmetry_space_group_name_H-M 'P 4 m m'
_symmetry_Int_Tables_number 99
_symmetry_space_group_name_Hall 'P 4 -2'
loop_
_atom_site_label
_atom_site_type_symbol
_atom_site_fract_x
_atom_site_fract_y
_atom_site_fract_z
P1 P 0.000 0.000 0.000
P2 P 0.500 0.500 0.324
Os1 Os 0.500 0.500 0.842
Au1 Au 0.000 0.000 0.562
```

Properties
Relative energy among the computed polymorphs = 0.423 eV/atom
Crystal system = tetragonal
Formation energy = 0.374 eV per atom


2.
DFT (GGA-PBE) results for crystalline POsAu2 at its relaxed geometry.

The structure in CIF format:
```
data_POsAu2
_cell_length_a 2.726
_cell_length_b 4.114
_cell_length_c 5.850
_cell_angle_alpha 90.00
_cell_angle_beta 90.00
_cell_angle_gamma 90.00
_symmetry_space_group_name_H-M 'P m m m'
_symmetry_Int_Tables_number 47
_symmetry_space_group_name_Hall '-P 2 2'
loop_
_atom_site_label
_atom_site_type_symbol
_atom_site_fract_x
_atom_site_fract_y
_atom_site_fract_z
P1 P 0.000 0.000 0.000
Os1 Os 0.000 0.000 0.500
Au1 Au 0.500 0.500 0.251
```

Properties
Crystal system = orthorhombic
Formation energy = 0.737 eV per atom